No. 1
This record from the Alexandria database describes KCdH8Pt2 after structural relaxation. The functional is PBE.

POSCAR file:
```
KCdH8Pt2
1.0
-3.509 1.006 -3.394
-0.157 -2.579 -4.262
-5.191 -4.914 0.251
K Cd H Pt
1 1 8 2
Direct
0.500 0.500 0.500
0.000 0.000 0.000
0.206 0.206 0.383
0.588 0.312 0.173
0.794 0.794 0.617
0.927 0.588 0.173
0.073 0.412 0.827
0.312 0.927 0.173
0.688 0.073 0.827
0.412 0.688 0.827
0.286 0.286 0.142
0.714 0.714 0.858
```

Summary:
Space-group type: R-3, No. 148
Magnetic moment, μB/f.u.: 0.00

No. 2
This record from the Alexandria database describes KRbCdH4 after structural relaxation. The functional is PBE.

POSCAR file:
```
KRbCdH4
1.0
-1.562 -5.991 -0.672
4.802 1.503 3.670
-5.231 0.625 6.587
K Rb Cd H
2 2 2 8
Direct
0.500 0.500 0.500
0.500 0.500 0.000
0.813 0.187 0.250
0.187 0.813 0.750
0.155 0.845 0.250
0.845 0.155 0.750
0.185 0.292 0.750
0.708 0.815 0.750
0.744 0.256 0.924
0.744 0.256 0.576
0.256 0.744 0.076
0.256 0.744 0.424
0.815 0.708 0.250
0.292 0.185 0.250
```

Summary:
Space-group type: Cmcm, No. 63
Magnetic moment, μB/f.u.: 0.00

No. 3
This record from the Alexandria database describes K3RbCd2H8 after structural relaxation. The functional is PBE.

POSCAR file:
```
K3RbCd2H8
1.0
-0.950 -0.791 -5.948
1.953 -4.635 3.407
-8.609 -2.384 1.692
K Rb Cd H
3 1 2 8
Direct
0.333 0.667 0.740
0.667 0.333 0.260
0.000 0.000 0.000
0.000 0.000 0.500
0.333 0.667 0.209
0.667 0.333 0.791
0.333 0.667 0.010
0.667 0.333 0.990
0.169 0.831 0.274
0.831 0.169 0.726
0.169 0.337 0.274
0.831 0.663 0.726
0.663 0.831 0.274
0.337 0.169 0.726
```

Summary:
Space-group type: P-3m1, No. 164
Magnetic moment, μB/f.u.: 0.00

No. 4
This record from the Alexandria database describes K2RbCdH4 after structural relaxation. The functional is PBE.

POSCAR file:
```
K2RbCdH4
1.0
6.162 -0.044 -0.068
-2.665 5.556 0.068
-2.665 -2.174 5.113
K Rb Cd H
2 1 1 4
Direct
0.500 0.750 0.250
0.000 0.000 0.000
0.500 0.250 0.750
0.000 0.500 0.500
0.589 0.366 0.341
0.975 0.223 0.634
0.025 0.659 0.248
0.411 0.752 0.777
```

Summary:
Space-group type: I-4, No. 82
Magnetic moment, μB/f.u.: 0.61

| no. | electronic total energy (eV/atom) |
| --- | --- |
| 1 | -3.36 |
| 2 | -2.50 |
| 3 | -2.48 |
| 4 | -2.19 |